# Ti3FeS6 PBE optimized geometry
# * volume: 17.300 A^3/atom
# * density of states at the Fermi level: 29.0 states/eV per cell
# * final energy: -67.05 eV per formula unit
data_Ti3FeS6
_cell_length_a 9.7774
_cell_length_b 9.7774
_cell_length_c 12.5377
_cell_angle_alpha 90.00
_cell_angle_beta 90.00
_cell_angle_gamma 120.00
_space_group_name_H-M_alt 'R -3'
_space_group_IT_number 148
_space_group_name_Hall '-R 3'
loop_
_atom_site_label
_atom_site_fract_x
_atom_site_fract_y
_atom_site_fract_z
_atom_site_occupancy
Ti1 0.0414 0.4475 0.3746 1
Fe1 0.0000 0.0000 0.0000 1
Fe2 0.0000 0.0000 0.5000 1
S1 0.0018 0.8023 0.1117 1
S2 0.0335 0.1877 0.3782 1